# 1
# IrBrN, relaxed, DFT PBE-GGA
data_IrBrN
_cell_length_a 4.7161
_cell_length_b 3.2048
_cell_length_c 8.9151
_cell_angle_alpha 90.00
_cell_angle_beta 90.92
_cell_angle_gamma 90.00
_space_group_name_H-M_alt 'P 1'
_space_group_IT_number 1
loop_
_space_group_symop_operation_xyz
'x,y,z'
loop_
_atom_site_label
_atom_site_fract_x
_atom_site_fract_y
_atom_site_fract_z
Ir1 0.0000 0.0000 0.0000
Ir2 0.4890 0.5000 0.7790
Br1 0.2107 0.5000 0.2032
Br2 0.7126 0.0000 0.5879
N1 0.3012 0.0000 0.8619
N2 0.7834 0.5000 0.9409
# Raw formation energy (eV/atom): 0.435
# Volume (Å³/f.u.): 67
# Space group: Pm
# Raw total energy (Ha/atom): -0.215
# Energy above the most stable polymorph in this dataset (meV per atom): 0

# 2
# IrBrN, relaxed, DFT PBE-GGA
data_IrBrN
_cell_length_a 3.2700
_cell_length_b 3.2700
_cell_length_c 6.0439
_cell_angle_alpha 90.20
_cell_angle_beta 90.20
_cell_angle_gamma 60.00
_space_group_name_H-M_alt 'P 1'
_space_group_IT_number 1
loop_
_space_group_symop_operation_xyz
'x,y,z'
loop_
_atom_site_label
_atom_site_fract_x
_atom_site_fract_y
_atom_site_fract_z
Ir1 0.0000 0.0000 0.0000
Br1 0.0018 0.0018 0.4044
N1 0.6663 0.6663 0.9126
# Raw formation energy (eV/atom): 0.578
# Volume (Å³/f.u.): 56
# Space group: Cm
# Raw total energy (Ha/atom): -0.210
# Energy above the most stable polymorph in this dataset (meV per atom): 142

# 3
# IrBr6N2, relaxed, DFT PBE-GGA
data_IrBr6N2
_cell_length_a 7.1960
_cell_length_b 7.1960
_cell_length_c 7.1960
_cell_angle_alpha 60.00
_cell_angle_beta 60.00
_cell_angle_gamma 60.00
_space_group_name_H-M_alt 'P 1'
_space_group_IT_number 1
loop_
_space_group_symop_operation_xyz
'x,y,z'
loop_
_atom_site_label
_atom_site_fract_x
_atom_site_fract_y
_atom_site_fract_z
Ir1 0.0000 0.0000 0.0000
Br1 0.2423 0.2423 0.7577
Br2 0.2423 0.7577 0.2423
Br3 0.2423 0.7577 0.7577
Br4 0.7577 0.2423 0.2423
Br5 0.7577 0.2423 0.7577
Br6 0.7577 0.7577 0.2423
N1 0.2500 0.2500 0.2500
N2 0.7500 0.7500 0.7500
# Raw formation energy (eV/atom): 1.149
# Volume (Å³/f.u.): 263
# Space group: Fm-3m
# Raw total energy (Ha/atom): -0.103

Please write out number 1 again, unchanged.
# IrBrN, relaxed, DFT PBE-GGA
data_IrBrN
_cell_length_a 4.7161
_cell_length_b 3.2048
_cell_length_c 8.9151
_cell_angle_alpha 90.00
_cell_angle_beta 90.92
_cell_angle_gamma 90.00
_space_group_name_H-M_alt 'P 1'
_space_group_IT_number 1
loop_
_space_group_symop_operation_xyz
'x,y,z'
loop_
_atom_site_label
_atom_site_fract_x
_atom_site_fract_y
_atom_site_fract_z
Ir1 0.0000 0.0000 0.0000
Ir2 0.4890 0.5000 0.7790
Br1 0.2107 0.5000 0.2032
Br2 0.7126 0.0000 0.5879
N1 0.3012 0.0000 0.8619
N2 0.7834 0.5000 0.9409
# Raw formation energy (eV/atom): 0.435
# Volume (Å³/f.u.): 67
# Space group: Pm
# Raw total energy (Ha/atom): -0.215
# Energy above the most stable polymorph in this dataset (meV per atom): 0

> The lowest raw total energy belongs to which entry?

number 1